Record 1
The following is a DFT calculation (PBE) of an optimized crystal structure of Ta2ZnSe.

Uncorrected formation energy   -12 meV per atom
DOS at the Fermi energy   0.97 states/eV/cell
Symmetry   P4/mmm
Energy above the lowest structure with this stoichiometry   20 meV per atom
Raw total energy   -7.1275 eV per atom

```
Ta2ZnSe
1.0
3.074 0.000 0.000
0.000 3.074 0.000
0.000 0.000 7.025
Ta Zn Se
2 1 1
Direct
0.000 0.000 0.239
0.000 0.000 0.761
0.500 0.500 0.500
0.500 0.500 0.000
```

---

Record 2
The following is a DFT calculation (PBE) of an optimized crystal structure of La3Ho5Tm4.

DOS at the Fermi energy   17.24 states/eV/cell
Symmetry   C2/m
Raw total energy   -4.3523 eV per atom

```
La3Ho5Tm4
1.0
8.846 -2.854 0.000
8.846 2.854 0.000
-3.795 0.000 7.845
La Ho Tm
3 5 4
Direct
0.000 0.000 0.000
0.316 0.316 0.770
0.684 0.684 0.230
0.091 0.091 0.443
0.163 0.163 0.892
0.500 0.500 0.000
0.837 0.837 0.108
0.909 0.909 0.557
0.289 0.289 0.353
0.461 0.461 0.303
0.539 0.539 0.697
0.711 0.711 0.647
```

---

Record 3
The following is a DFT calculation (PBE) of an optimized crystal structure of Hf2TiRhC.

DOS at the Fermi energy   4.27 states/eV/cell
Symmetry   P4/mmm
Raw total energy   -9.4382 eV per atom

```
Hf2TiRhC
1.0
4.484 0.000 0.000
0.000 4.484 0.000
0.000 0.000 4.056
Hf Ti Rh C
2 1 1 1
Direct
0.000 0.500 0.000
0.500 0.000 0.000
0.000 0.000 0.500
0.500 0.500 0.500
0.000 0.000 0.000
```

---

Record 4
The following is a DFT calculation (PBE) of an optimized crystal structure of Nd3Sm3Y5.

DOS at the Fermi energy   19.65 states/eV/cell
Symmetry   P-62m
Energy above the lowest structure with this stoichiometry   0 meV per atom
Raw total energy   -4.7705 eV per atom

```
Nd3Sm3Y5
1.0
9.774 0.000 0.000
-4.887 8.465 0.000
0.000 0.000 5.479
Nd Sm Y
3 3 5
Direct
0.000 0.421 0.000
0.421 0.000 0.000
0.579 0.579 0.000
0.000 0.268 0.500
0.268 0.000 0.500
0.732 0.732 0.500
0.000 0.635 0.500
0.333 0.667 0.500
0.365 0.365 0.500
0.635 0.000 0.500
0.667 0.333 0.500
```

---

Record 5
The following is a DFT calculation (PBE) of an optimized crystal structure of Sc2TiH8.

DOS at the Fermi energy   3.27 states/eV/cell
Symmetry   Immm
Raw total energy   -4.7456 eV per atom

```
Sc2TiH8
1.0
-1.667 2.297 4.874
1.667 -2.297 4.874
1.667 2.297 -4.874
Sc Ti H
2 1 8
Direct
0.169 0.169 0.000
0.831 0.831 0.000
0.500 0.500 0.000
0.090 0.348 0.742
0.253 0.000 0.253
0.329 0.829 0.500
0.394 0.652 0.742
0.606 0.348 0.258
0.671 0.171 0.500
0.747 0.000 0.747
0.910 0.652 0.258
```

---

Record 6
The following is a DFT calculation (PBE) of an optimized crystal structure of Mg3AsN.

Uncorrected formation energy   379 meV per atom
DOS at the Fermi energy   3.41 states/eV/cell
Symmetry   Cmcm
Raw total energy   -3.1727 eV per atom

```
Mg3AsN
1.0
2.698 -7.068 0.000
2.698 7.068 0.000
0.000 0.000 5.464
Mg As N
6 2 2
Direct
0.000 0.000 0.000
0.000 0.000 0.500
0.085 0.426 0.750
0.426 0.085 0.250
0.574 0.915 0.750
0.915 0.574 0.250
0.164 0.836 0.750
0.836 0.164 0.250
0.438 0.562 0.750
0.562 0.438 0.250
```

---

Record 7
The following is a DFT calculation (PBE) of an optimized crystal structure of KNaHgF6.

Uncorrected formation energy   -1792 meV per atom
Symmetry   C2
Raw total energy   -3.3411 eV per atom

```
KNaHgF6
1.0
2.978 -5.165 0.000
2.978 5.165 0.000
-0.003 0.000 5.499
K Na Hg F
1 1 1 6
Direct
0.000 0.000 0.000
0.666 0.334 0.500
0.333 0.667 0.500
0.026 0.377 0.289
0.026 0.648 0.712
0.352 0.378 0.712
0.352 0.974 0.288
0.622 0.648 0.288
0.623 0.974 0.711
```

---

Record 8
The following is a DFT calculation (PBE) of an optimized crystal structure of ScTcPdBr2.

Uncorrected formation energy   474 meV per atom
DOS at the Fermi energy   3.59 states/eV/cell
Symmetry   P4/mmm
Raw total energy   -4.5729 eV per atom

```
ScTcPdBr2
1.0
4.987 0.000 0.000
0.000 4.987 0.000
0.000 0.000 4.925
Sc Tc Pd Br
1 1 1 2
Direct
0.000 0.000 0.000
0.000 0.000 0.500
0.500 0.500 0.000
0.000 0.500 0.500
0.500 0.000 0.500
```